(1)
The following is a DFT calculation (PBE-GGA) of crystalline SiTe at its relaxed geometry.

Properties
Its calculated volume is 71.3 Å³/cell. The raw total energy comes out at -3.727 eV/atom. The value obtained for the total moment is 0.00 Bohr magnetons per cell.

Unit cell a=4.6546 b=4.6546 c=4.6546 alpha=60.00 beta=60.00 gamma=60.00
Atoms (fractional coordinates):
Si1 0.0000 0.0000 0.0000
Te1 0.7500 0.7500 0.7500

---

(2)
The following is a DFT calculation (PBE-GGA) of crystalline La2ZnP3Ir4 at its relaxed geometry.

Properties
Its calculated volume is 174.3 Å³/cell. The value obtained for the total moment is 0.00 Bohr magnetons per cell. Its formation energy is -0.895 eV per atom.

Unit cell a=4.1577 b=4.1577 c=10.0843 alpha=90.00 beta=90.00 gamma=90.00
Atoms (fractional coordinates):
La1 0.0000 0.5000 0.2456
La2 0.5000 0.0000 0.7544
Zn1 0.5000 0.5000 0.0000
P1 0.0000 0.0000 0.0000
P2 0.0000 0.5000 0.6342
P3 0.5000 0.0000 0.3658
Ir1 0.0000 0.0000 0.5000
Ir2 0.0000 0.5000 0.8653
Ir3 0.5000 0.0000 0.1347
Ir4 0.5000 0.5000 0.5000

---

(3)
The following is a DFT calculation (PBE-GGA) of crystalline Mn8TcMo3 at its relaxed geometry.

Properties
Its calculated volume is 147.4 Å³/cell. The value obtained for the total moment is 0.00 Bohr magnetons per cell. Its formation energy is -0.077 eV per atom.

Unit cell a=4.6918 b=4.6918 c=7.7301 alpha=90.00 beta=90.00 gamma=120.00
Atoms (fractional coordinates):
Mn1 0.0000 0.0000 0.0000
Mn2 0.0000 0.0000 0.4994
Mn3 0.1724 0.3448 0.7497
Mn4 0.1724 0.8276 0.7497
Mn5 0.3447 0.1724 0.2515
Mn6 0.6552 0.8276 0.7497
Mn7 0.8276 0.1724 0.2515
Mn8 0.8276 0.6553 0.2515
Tc1 0.6667 0.3333 0.5685
Mo1 0.3333 0.6667 0.0656
Mo2 0.3333 0.6667 0.4375
Mo3 0.6667 0.3333 0.9331

---

(4)
The following is a DFT calculation (PBE-GGA) of crystalline MgPd8Pt2 at its relaxed geometry.

Properties
Its calculated volume is 169.7 Å³/cell. The value obtained for the total moment is 0.00 Bohr magnetons per cell. Its formation energy is -0.201 eV per atom.

Unit cell a=7.3846 b=7.3846 c=6.2353 alpha=104.71 beta=104.71 gamma=31.17
Atoms (fractional coordinates):
Mg1 0.0000 0.0000 0.0000
Pd1 0.0906 0.0906 0.4511
Pd2 0.1820 0.1820 0.9100
Pd3 0.3646 0.3646 0.8195
Pd4 0.4547 0.4547 0.2716
Pd5 0.5453 0.5453 0.7284
Pd6 0.6354 0.6354 0.1805
Pd7 0.8180 0.8180 0.0900
Pd8 0.9094 0.9094 0.5489
Pt1 0.2744 0.2744 0.3667
Pt2 0.7256 0.7256 0.6333

---

(5)
The following is a DFT calculation (PBE-GGA) of crystalline Tb4Nd7Ho at its relaxed geometry.

Properties
Its calculated volume is 406.6 Å³/cell. The value obtained for the total moment is 0.00 Bohr magnetons per cell. Its formation energy is 0.007 eV per atom.

Unit cell a=6.3380 b=7.3109 c=9.0253 alpha=89.98 beta=76.49 gamma=89.99
Atoms (fractional coordinates):
Tb1 0.2211 0.9998 0.3349
Tb2 0.2775 0.2484 0.6681
Tb3 0.7225 0.7516 0.3319
Tb4 0.7789 0.0002 0.6651
Nd1 0.0000 0.0000 0.0000
Nd2 0.2215 0.5001 0.3341
Nd3 0.2789 0.7508 0.6667
Nd4 0.4991 0.2487 0.9989
Nd5 0.5009 0.7513 0.0011
Nd6 0.7211 0.2492 0.3333
Nd7 0.7785 0.4999 0.6659
Ho1 0.0000 0.5000 0.0000

---

(6)
The following is a DFT calculation (PBE-GGA) of crystalline Mg2ZrCu at its relaxed geometry.

Properties
Its calculated volume is 77.8 Å³/cell. The value obtained for the total moment is 1.10 Bohr magnetons per cell. Its formation energy is 0.226 eV per atom.

Unit cell a=5.2400 b=5.2400 c=5.2400 alpha=132.01 beta=132.01 gamma=70.21
Atoms (fractional coordinates):
Mg1 0.2500 0.7500 0.5000
Mg2 0.7500 0.2500 0.5000
Zr1 0.0000 0.0000 0.0000
Cu1 0.5000 0.5000 0.0000

---

(7)
The following is a DFT calculation (PBE-GGA) of crystalline Sc3NbFe8 at its relaxed geometry.

Properties
Its calculated volume is 167.0 Å³/cell. The value obtained for the total moment is 12.22 Bohr magnetons per cell. Its formation energy is -0.249 eV per atom.

Unit cell a=8.4892 b=8.4892 c=8.4892 alpha=33.61 beta=33.61 gamma=33.61
Atoms (fractional coordinates):
Sc1 0.0000 0.0000 0.0000
Sc2 0.1250 0.1250 0.1250
Sc3 0.4995 0.4995 0.4995
Nb1 0.6244 0.6244 0.6244
Fe1 0.0602 0.5616 0.5616
Fe2 0.0627 0.0627 0.5646
Fe3 0.0627 0.5646 0.0627
Fe4 0.3122 0.3122 0.3122
Fe5 0.5616 0.0602 0.5616
Fe6 0.5616 0.5616 0.0602
Fe7 0.5646 0.0627 0.0627
Fe8 0.8122 0.8122 0.8122

---

(8)
The following is a DFT calculation (PBE-GGA) of crystalline Ca5Tb3S8 at its relaxed geometry.

Properties
Its calculated volume is 357.8 Å³/cell. The raw total energy comes out at -5.641 eV/atom. The value obtained for the total moment is 0.00 Bohr magnetons per cell.

Unit cell a=7.9886 b=7.9886 c=7.9886 alpha=59.67 beta=59.67 gamma=59.67
Atoms (fractional coordinates):
Ca1 0.0000 0.0000 0.0000
Ca2 0.0000 0.5000 0.5000
Ca3 0.5000 0.0000 0.5000
Ca4 0.5000 0.5000 0.0000
Ca5 0.5000 0.5000 0.5000
Tb1 0.0000 0.0000 0.5000
Tb2 0.0000 0.5000 0.0000
Tb3 0.5000 0.0000 0.0000
S1 0.2460 0.7500 0.7500
S2 0.2487 0.2487 0.2487
S3 0.2500 0.2500 0.7540
S4 0.2500 0.7540 0.2500
S5 0.7500 0.2460 0.7500
S6 0.7500 0.7500 0.2460
S7 0.7513 0.7513 0.7513
S8 0.7540 0.2500 0.2500